No. 1
The following is a PBE calculation of a relaxed structure of Al2V2Ru, from Alexandria.

Values from the calculation:
Uncorrected energy: -7.087 eV per atom
SG: No. 127
Theoretical density: 5951 kg/m3

abc: 6.614 6.614 3.278
angles: 90.00 90.00 90.00
Fractional positions:
Al (0.136, 0.364, 0.000)
Al (0.364, 0.864, 0.000)
Al (0.636, 0.136, 0.000)
Al (0.864, 0.636, 0.000)
V (0.165, 0.665, 0.500)
V (0.335, 0.165, 0.500)
V (0.665, 0.835, 0.500)
V (0.835, 0.335, 0.500)
Ru (0.000, 0.000, 0.000)
Ru (0.500, 0.500, 0.000)

***

No. 2
The following is a PBE calculation of a relaxed structure of AlVRu, from Alexandria.

Values from the calculation:
Uncorrected energy: -7.740 eV per atom
SG: No. 156
Theoretical density: 7107 kg/m3

abc: 4.185 4.185 2.757
angles: 90.00 90.00 120.00
Fractional positions:
Al (0.000, 0.000, 0.000)
V (0.667, 0.333, 0.599)
Ru (0.333, 0.667, 0.348)

***

No. 3
The following is a PBE calculation of a relaxed structure of Al3VRu4, from Alexandria.

Values from the calculation:
Uncorrected energy: -7.841 eV per atom
SG: No. 139
Theoretical density: 8214 kg/m3

abc: 6.716 6.716 6.716
angles: 143.13 143.13 53.13
Fractional positions:
Al (0.000, 0.000, 0.000)
Al (0.249, 0.249, 0.000)
Al (0.751, 0.751, 0.000)
V (0.500, 0.500, 0.000)
Ru (0.125, 0.625, 0.500)
Ru (0.375, 0.875, 0.500)
Ru (0.625, 0.125, 0.500)
Ru (0.875, 0.375, 0.500)

***

No. 4
The following is a PBE calculation of a relaxed structure of Al3VRu, from Alexandria.

Values from the calculation:
Uncorrected energy: -5.604 eV per atom
SG: No. 221
Theoretical density: 3865 kg/m3

abc: 4.643 4.643 4.643
angles: 90.00 90.00 90.00
Fractional positions:
Al (0.000, 0.000, 0.500)
Al (0.000, 0.500, 0.000)
Al (0.500, 0.000, 0.000)
V (0.500, 0.500, 0.500)
Ru (0.000, 0.000, 0.000)

***

No. 5
The following is a PBE calculation of a relaxed structure of AlV6Ru, from Alexandria.

Values from the calculation:
Uncorrected energy: -8.513 eV per atom
SG: No. 5
Theoretical density: 6489 kg/m3

abc: 5.498 5.498 4.554
angles: 95.58 95.58 124.48
Fractional positions:
Al (0.000, 0.000, 0.000)
V (0.372, 0.141, 0.509)
V (0.497, 0.503, 0.000)
V (0.503, 0.014, 0.007)
V (0.859, 0.628, 0.491)
V (0.860, 0.140, 0.500)
V (0.986, 0.497, 0.993)
Ru (0.364, 0.636, 0.500)

***

No. 6
The following is a PBE calculation of a relaxed structure of AlVRu2, from Alexandria.

Values from the calculation:
Uncorrected energy: -8.464 eV per atom
SG: No. 123
Theoretical density: 8574 kg/m3

abc: 3.006 3.006 6.004
angles: 90.00 90.00 90.00
Fractional positions:
Al (0.000, 0.000, 0.000)
V (0.000, 0.000, 0.500)
Ru (0.500, 0.500, 0.255)
Ru (0.500, 0.500, 0.745)

***

No. 7
The following is a PBE calculation of a relaxed structure of AlV3Ru4, from Alexandria.

Values from the calculation:
Uncorrected energy: -8.953 eV per atom
SG: No. 47
Theoretical density: 8929 kg/m3

abc: 2.995 4.256 8.521
angles: 90.00 90.00 90.00
Fractional positions:
Al (0.000, 0.000, 0.000)
V (0.000, 0.000, 0.500)
V (0.000, 0.500, 0.248)
V (0.000, 0.500, 0.752)
Ru (0.500, 0.000, 0.252)
Ru (0.500, 0.000, 0.748)
Ru (0.500, 0.500, 0.000)
Ru (0.500, 0.500, 0.500)

***

No. 8
The following is a PBE calculation of a relaxed structure of Al2V2Ru, from Alexandria.

Values from the calculation:
Uncorrected energy: -6.801 eV per atom
SG: No. 127
Theoretical density: 5786 kg/m3

abc: 6.910 6.910 3.088
angles: 90.00 90.00 90.00
Fractional positions:
Al (0.193, 0.307, 0.000)
Al (0.307, 0.807, 0.000)
Al (0.693, 0.193, 0.000)
Al (0.807, 0.693, 0.000)
V (0.104, 0.604, 0.500)
V (0.396, 0.104, 0.500)
V (0.604, 0.896, 0.500)
V (0.896, 0.396, 0.500)
Ru (0.000, 0.000, 0.500)
Ru (0.500, 0.500, 0.500)

***

No. 9
The following is a PBE calculation of a relaxed structure of AlV2Ru2, from Alexandria.

Values from the calculation:
Uncorrected energy: -8.269 eV per atom
SG: No. 127
Theoretical density: 7512 kg/m3

abc: 7.106 7.106 2.898
angles: 90.00 90.00 90.00
Fractional positions:
Al (0.000, 0.000, 0.000)
Al (0.500, 0.500, 0.000)
V (0.163, 0.337, 0.500)
V (0.337, 0.837, 0.500)
V (0.663, 0.163, 0.500)
V (0.837, 0.663, 0.500)
Ru (0.138, 0.638, 0.000)
Ru (0.362, 0.138, 0.000)
Ru (0.638, 0.862, 0.000)
Ru (0.862, 0.362, 0.000)

***

No. 10
The following is a PBE calculation of a relaxed structure of AlV2Ru, from Alexandria.

Values from the calculation:
Uncorrected energy: -7.965 eV per atom
SG: No. 123
Theoretical density: 6788 kg/m3

abc: 3.193 3.193 5.516
angles: 90.00 90.00 90.00
Fractional positions:
Al (0.000, 0.000, 0.000)
V (0.500, 0.500, 0.264)
V (0.500, 0.500, 0.736)
Ru (0.000, 0.000, 0.500)

***

No. 11
The following is a PBE calculation of a relaxed structure of Al4VRu5, from Alexandria.

Values from the calculation:
Uncorrected energy: -7.687 eV per atom
SG: No. 123
Theoretical density: 8117 kg/m3

abc: 3.011 3.011 14.989
angles: 90.00 90.00 90.00
Fractional positions:
Al (0.000, 0.000, 0.101)
Al (0.000, 0.000, 0.297)
Al (0.000, 0.000, 0.703)
Al (0.000, 0.000, 0.899)
V (0.000, 0.000, 0.500)
Ru (0.500, 0.500, 0.000)
Ru (0.500, 0.500, 0.201)
Ru (0.500, 0.500, 0.403)
Ru (0.500, 0.500, 0.597)
Ru (0.500, 0.500, 0.799)

***

No. 12
The following is a PBE calculation of a relaxed structure of AlVRu, from Alexandria.

Values from the calculation:
Uncorrected energy: -7.872 eV per atom
SG: No. 107
Theoretical density: 7190 kg/m3

abc: 5.023 5.023 5.023
angles: 145.07 145.07 50.22
Fractional positions:
Al (0.000, 0.000, 0.000)
V (0.322, 0.322, 0.000)
Ru (0.672, 0.672, 0.000)

***

No. 13
The following is a PBE calculation of a relaxed structure of AlV2Ru2, from Alexandria.

Values from the calculation:
Uncorrected energy: -8.574 eV per atom
SG: No. 63
Theoretical density: 8083 kg/m3

abc: 10.841 10.841 4.208
angles: 90.00 90.00 164.04
Fractional positions:
Al (0.150, 0.850, 0.750)
Al (0.850, 0.150, 0.250)
V (0.052, 0.948, 0.250)
V (0.246, 0.754, 0.250)
V (0.754, 0.246, 0.750)
V (0.948, 0.052, 0.750)
Ru (0.352, 0.648, 0.750)
Ru (0.453, 0.547, 0.250)
Ru (0.547, 0.453, 0.750)
Ru (0.648, 0.352, 0.250)

***

No. 14
The following is a PBE calculation of a relaxed structure of AlV3Ru, from Alexandria.

Values from the calculation:
Uncorrected energy: -7.151 eV per atom
SG: No. 221
Theoretical density: 5035 kg/m3

abc: 4.525 4.525 4.525
angles: 90.00 90.00 90.00
Fractional positions:
Al (0.000, 0.000, 0.000)
V (0.000, 0.500, 0.500)
V (0.500, 0.000, 0.500)
V (0.500, 0.500, 0.000)
Ru (0.500, 0.500, 0.500)

***

No. 15
The following is a PBE calculation of a relaxed structure of AlV5Ru6, from Alexandria.

Values from the calculation:
Uncorrected energy: -9.126 eV per atom
SG: No. 71
Theoretical density: 9038 kg/m3

abc: 7.384 7.384 7.384
angles: 146.60 132.00 59.73
Fractional positions:
Al (0.000, 0.000, 0.000)
V (0.170, 0.670, 0.500)
V (0.333, 0.333, 0.000)
V (0.500, 0.000, 0.500)
V (0.667, 0.667, 0.000)
V (0.830, 0.330, 0.500)
Ru (0.083, 0.835, 0.248)
Ru (0.249, 0.500, 0.749)
Ru (0.413, 0.165, 0.248)
Ru (0.587, 0.835, 0.752)
Ru (0.751, 0.500, 0.251)
Ru (0.917, 0.165, 0.752)

***

No. 16
The following is a PBE calculation of a relaxed structure of Al4VRu, from Alexandria.

Values from the calculation:
Uncorrected energy: -5.693 eV per atom
SG: No. 12
Theoretical density: 4707 kg/m3

abc: 4.459 4.459 5.450
angles: 104.55 104.55 109.81
Fractional positions:
Al (0.165, 0.796, 0.746)
Al (0.204, 0.835, 0.254)
Al (0.796, 0.165, 0.746)
Al (0.835, 0.204, 0.254)
V (0.500, 0.500, 0.000)
Ru (0.500, 0.500, 0.500)

***

No. 17
The following is a PBE calculation of a relaxed structure of Al2VRu2, from Alexandria.

Values from the calculation:
Uncorrected energy: -7.346 eV per atom
SG: No. 127
Theoretical density: 7100 kg/m3

abc: 6.977 6.977 2.951
angles: 90.00 90.00 90.00
Fractional positions:
Al (0.132, 0.368, 0.000)
Al (0.368, 0.868, 0.000)
Al (0.632, 0.132, 0.000)
Al (0.868, 0.632, 0.000)
V (0.000, 0.000, 0.000)
V (0.500, 0.500, 0.000)
Ru (0.167, 0.667, 0.500)
Ru (0.333, 0.167, 0.500)
Ru (0.667, 0.833, 0.500)
Ru (0.833, 0.333, 0.500)

***

No. 18
The following is a PBE calculation of a relaxed structure of AlVRu2, from Alexandria.

Values from the calculation:
Uncorrected energy: -7.678 eV per atom
SG: No. 122
Theoretical density: 7613 kg/m3

abc: 5.448 5.448 5.448
angles: 105.18 105.18 118.45
Fractional positions:
Al (0.000, 0.000, 0.000)
Al (0.750, 0.250, 0.500)
V (0.250, 0.750, 0.500)
V (0.500, 0.500, 0.000)
Ru (0.152, 0.625, 0.027)
Ru (0.375, 0.402, 0.527)
Ru (0.598, 0.125, 0.973)
Ru (0.875, 0.848, 0.473)

***

No. 19
The following is a PBE calculation of a relaxed structure of AlV3Ru, from Alexandria.

Values from the calculation:
Uncorrected energy: -6.665 eV per atom
SG: No. 221
Theoretical density: 5633 kg/m3

abc: 4.359 4.359 4.359
angles: 90.00 90.00 90.00
Fractional positions:
Al (0.000, 0.000, 0.000)
V (0.000, 0.000, 0.500)
V (0.000, 0.500, 0.000)
V (0.500, 0.000, 0.000)
Ru (0.500, 0.500, 0.500)

***

No. 20
The following is a PBE calculation of a relaxed structure of AlV2Ru, from Alexandria.

Values from the calculation:
Uncorrected energy: -8.081 eV per atom
SG: No. 123
Theoretical density: 6913 kg/m3

abc: 3.654 3.654 4.138
angles: 90.00 90.00 90.00
Fractional positions:
Al (0.000, 0.000, 0.000)
V (0.000, 0.500, 0.500)
V (0.500, 0.000, 0.500)
Ru (0.500, 0.500, 0.000)